[1]
# ScAlTl2 (PBE-GGA, relaxed)
# E above lowest polymorph   0.32 eV per formula unit
# Calculated total energy   -3.71 eV per atom
# Formation energy   -0.0057 eV per atom
data_ScAlTl2
_cell_length_a 6.3731
_cell_length_b 8.4080
_cell_length_c 3.5062
_cell_angle_alpha 90.00
_cell_angle_beta 90.00
_cell_angle_gamma 90.00
_space_group_name_H-M_alt 'C m m m'
_space_group_IT_number 65
_space_group_name_Hall '-C 2 2'
loop_
_atom_site_label
_atom_site_type_symbol
_atom_site_fract_x
_atom_site_fract_y
_atom_site_fract_z
Sc1 Sc 0.0000 0.0000 0.0000
Al1 Al 0.0000 0.5000 0.0000
Tl1 Tl 0.2500 0.2500 0.5000

=====

[2]
# RePtSe2 (PBE-GGA, relaxed)
# Raw formation energy   0.53 eV per atom
# E above lowest polymorph   1.76 eV per formula unit
# Calculated total energy   -5.84 eV per atom
data_RePtSe2
_cell_length_a 6.1690
_cell_length_b 8.5187
_cell_length_c 2.6831
_cell_angle_alpha 90.00
_cell_angle_beta 90.00
_cell_angle_gamma 90.00
_space_group_name_H-M_alt 'C m m m'
_space_group_IT_number 65
_space_group_name_Hall '-C 2 2'
loop_
_atom_site_label
_atom_site_type_symbol
_atom_site_fract_x
_atom_site_fract_y
_atom_site_fract_z
Re1 Re 0.0000 0.0000 0.0000
Pt1 Pt 0.0000 0.5000 0.0000
Se1 Se 0.2500 0.2500 0.0000

=====

[3]
# Pm4SnSe5 (PBE-GGA, relaxed)
# Raw formation energy   -1.52 eV per atom
# Calculated total energy   -5.57 eV per atom
data_Pm4SnSe5
_cell_length_a 4.2286
_cell_length_b 4.2286
_cell_length_c 51.7747
_cell_angle_alpha 90.00
_cell_angle_beta 90.00
_cell_angle_gamma 120.00
_space_group_name_H-M_alt 'R -3 m'
_space_group_IT_number 166
_space_group_name_Hall '-R 3 2"'
loop_
_atom_site_label
_atom_site_type_symbol
_atom_site_fract_x
_atom_site_fract_y
_atom_site_fract_z
Pm1 Pm 0.0000 0.0000 0.0961
Pm2 Pm 0.0000 0.0000 0.2996
Sn1 Sn 0.0000 0.0000 0.5000
Se1 Se 0.0000 0.0000 0.0000
Se2 Se 0.0000 0.0000 0.2014
Se3 Se 0.0000 0.0000 0.3987

=====

[4]
# Ca2Zn5Pt (PBE-GGA, relaxed)
# Calculated total energy   -2.45 eV per atom
# Formation energy   -0.4007 eV per atom
data_Ca2Zn5Pt
_cell_length_a 4.2497
_cell_length_b 16.2948
_cell_length_c 9.1812
_cell_angle_alpha 90.00
_cell_angle_beta 90.00
_cell_angle_gamma 90.00
_space_group_name_H-M_alt 'C m c m'
_space_group_IT_number 63
_space_group_name_Hall '-C 2c 2'
loop_
_atom_site_label
_atom_site_type_symbol
_atom_site_fract_x
_atom_site_fract_y
_atom_site_fract_z
Ca1 Ca 0.0000 0.0000 0.0000
Ca2 Ca 0.0000 0.1879 0.2500
Zn1 Zn 0.0000 0.1915 0.6109
Zn2 Zn 0.0000 0.3517 0.5227
Zn3 Zn 0.0000 0.3986 0.2500
Pt1 Pt 0.0000 0.4441 0.7500

=====

[5]
# NaLiSnBi (PBE-GGA, relaxed)
# E above lowest polymorph   0.00 eV per formula unit
# Calculated total energy   -3.07 eV per atom
# Formation energy   -0.2883 eV per atom
data_NaLiSnBi
_cell_length_a 3.3030
_cell_length_b 3.3030
_cell_length_c 9.2142
_cell_angle_alpha 90.00
_cell_angle_beta 90.00
_cell_angle_gamma 90.00
_space_group_name_H-M_alt 'P 4 m m'
_space_group_IT_number 99
loop_
_space_group_symop_operation_xyz
'x,y,z'
'-y,x,z'
'-x,-y,z'
'y,-x,z'
'-x,y,z'
'y,x,z'
'x,-y,z'
'-y,-x,z'
loop_
_atom_site_label
_atom_site_type_symbol
_atom_site_fract_x
_atom_site_fract_y
_atom_site_fract_z
Na1 Na 0.0000 0.0000 0.0000
Li1 Li 0.0000 0.0000 0.4959
Sn1 Sn 0.5000 0.5000 0.2718
Bi1 Bi 0.5000 0.5000 0.7213

=====

[6]
# AlSi3S (PBE-GGA, relaxed)
# Raw formation energy   0.85 eV per atom
# E above lowest polymorph   0.00 eV per formula unit
# Calculated total energy   -3.98 eV per atom
data_AlSi3S
_cell_length_a 4.5586
_cell_length_b 4.5586
_cell_length_c 4.5586
_cell_angle_alpha 90.00
_cell_angle_beta 90.00
_cell_angle_gamma 90.00
_space_group_name_H-M_alt 'P m -3 m'
_space_group_IT_number 221
_space_group_name_Hall '-P 4 2 3'
loop_
_atom_site_label
_atom_site_type_symbol
_atom_site_fract_x
_atom_site_fract_y
_atom_site_fract_z
Al1 Al 0.0000 0.0000 0.0000
Si1 Si 0.0000 0.5000 0.5000
S1 S 0.5000 0.5000 0.5000

=====

[7]
# YSi2Ir (PBE-GGA, relaxed)
# Raw formation energy   -0.01 eV per atom
# Calculated total energy   -6.55 eV per atom
data_YSi2Ir
_cell_length_a 3.1517
_cell_length_b 3.1517
_cell_length_c 24.9542
_cell_angle_alpha 90.00
_cell_angle_beta 90.00
_cell_angle_gamma 120.00
_space_group_name_H-M_alt 'R 3 m'
_space_group_IT_number 160
_space_group_name_Hall 'R 3 -2"'
loop_
_atom_site_label
_atom_site_type_symbol
_atom_site_fract_x
_atom_site_fract_y
_atom_site_fract_z
Y1 Y 0.0000 0.0000 0.0000
Si1 Si 0.0000 0.0000 0.2367
Si2 Si 0.0000 0.0000 0.4967
Ir1 Ir 0.0000 0.0000 0.7636

=====

[8]
# CuRe3S (PBE-GGA, relaxed)
# Raw formation energy   2.46 eV per atom
# E above lowest polymorph   6.69 eV per formula unit
# Calculated total energy   -6.66 eV per atom
data_CuRe3S
_cell_length_a 4.4808
_cell_length_b 4.4808
_cell_length_c 4.4808
_cell_angle_alpha 90.00
_cell_angle_beta 90.00
_cell_angle_gamma 90.00
_space_group_name_H-M_alt 'P m -3 m'
_space_group_IT_number 221
_space_group_name_Hall '-P 4 2 3'
loop_
_atom_site_label
_atom_site_type_symbol
_atom_site_fract_x
_atom_site_fract_y
_atom_site_fract_z
Cu1 Cu 0.0000 0.0000 0.0000
Re1 Re 0.0000 0.0000 0.5000
S1 S 0.5000 0.5000 0.5000

=====

[9]
# Sm4Y5Sc2 (PBE-GGA, relaxed)
# E above lowest polymorph   0.00 eV per formula unit
# Calculated total energy   -5.76 eV per atom
# Formation energy   0.0411 eV per atom
data_Sm4Y5Sc2
_cell_length_a 18.0492
_cell_length_b 4.9920
_cell_length_c 7.9125
_cell_angle_alpha 90.00
_cell_angle_beta 105.32
_cell_angle_gamma 90.00
_space_group_name_H-M_alt 'C 1 2/m 1'
_space_group_IT_number 12
loop_
_space_group_symop_operation_xyz
'x,y,z'
'-x,-y,-z'
'-x,y,-z'
'x,-y,z'
'x+1/2,y+1/2,z'
'-x+1/2,-y+1/2,-z'
'-x+1/2,y+1/2,-z'
'x+1/2,-y+1/2,z'
loop_
_atom_site_label
_atom_site_type_symbol
_atom_site_fract_x
_atom_site_fract_y
_atom_site_fract_z
Sm1 Sm 0.0441 0.0000 0.2202
Sm2 Sm 0.1822 0.5000 0.4047
Y1 Y 0.0000 0.5000 0.5000
Y2 Y 0.1348 0.0000 0.6845
Y3 Y 0.2262 0.0000 0.1320
Sc1 Sc 0.0894 0.5000 0.9548

=====

[10]
# NdSmCI (PBE-GGA, relaxed)
# Raw formation energy   -0.70 eV per atom
# Calculated total energy   -5.77 eV per atom
data_NdSmCI
_cell_length_a 3.8599
_cell_length_b 3.8599
_cell_length_c 23.1926
_cell_angle_alpha 90.00
_cell_angle_beta 90.00
_cell_angle_gamma 120.00
_space_group_name_H-M_alt 'R 3 m'
_space_group_IT_number 160
_space_group_name_Hall 'R 3 -2"'
loop_
_atom_site_label
_atom_site_type_symbol
_atom_site_fract_x
_atom_site_fract_y
_atom_site_fract_z
Nd1 Nd 0.0000 0.0000 0.0000
Sm1 Sm 0.0000 0.0000 0.7824
C1 C 0.0000 0.0000 0.3938
I1 I 0.0000 0.0000 0.2227

=====

[11]
# Mg3TlSe4O12 (PBE-GGA, relaxed)
# Raw formation energy   -0.97 eV per atom
# Calculated total energy   -5.00 eV per atom
data_Mg3TlSe4O12
_cell_length_a 11.3854
_cell_length_b 11.3854
_cell_length_c 8.1593
_cell_angle_alpha 90.00
_cell_angle_beta 90.00
_cell_angle_gamma 120.00
_space_group_name_H-M_alt 'R 3 2'
_space_group_IT_number 155
_space_group_name_Hall 'R 3 2"'
loop_
_atom_site_label
_atom_site_type_symbol
_atom_site_fract_x
_atom_site_fract_y
_atom_site_fract_z
Mg1 Mg 0.0000 0.5606 0.0000
Tl1 Tl 0.0000 0.0000 0.0000
Se1 Se 0.0000 0.0000 0.5000
Se2 Se 0.0000 0.4470 0.5000
O1 O 0.0000 0.6166 0.5000
O2 O 0.0000 0.8416 0.5000
O3 O 0.0458 0.2354 0.1971